# TlPd4, optimized geometry, DFT GGA-PBE
# crystal system	orthorhombic
# excess energy over the best structure of this formula in the dataset	0.0000	eV/atom
# DFT formation energy	-0.105	eV per atom
data_TlPd4
_chemical_formula_sum 'Tl4 Pd16'
_cell_length_a 4.407
_cell_length_b 5.570
_cell_length_c 13.777
_cell_angle_alpha 90.00
_cell_angle_beta 90.00
_cell_angle_gamma 90.00
_symmetry_space_group_name_H-M 'I m m a'
_symmetry_Int_Tables_number 74
_symmetry_space_group_name_Hall '-I 2b 2'
loop_
_atom_site_label
_atom_site_fract_x
_atom_site_fract_y
_atom_site_fract_z
Tl1 0.000 0.250 0.105
Pd1 0.000 0.000 0.500
Pd2 0.000 0.006 0.697
Pd3 0.000 0.250 0.894

---

# PuPaGa6, optimized geometry, DFT GGA-PBE
# crystal system	hexagonal
# DFT formation energy	-0.380	eV per atom
data_PuPaGa6
_chemical_formula_sum 'Pu1 Pa1 Ga6'
_cell_length_a 6.2419
_cell_length_b 6.2419
_cell_length_c 4.6037
_cell_angle_alpha 90.00
_cell_angle_beta 90.00
_cell_angle_gamma 120.00
_symmetry_space_group_name_H-M 'P -6 m 2'
_symmetry_Int_Tables_number 187
_symmetry_space_group_name_Hall 'P -6 2'
loop_
_atom_site_label
_atom_site_fract_x
_atom_site_fract_y
_atom_site_fract_z
Pu1 0.0000 0.0000 0.0000
Pa1 0.6667 0.3333 0.5000
Ga1 0.0349 0.5174 0.0000
Ga2 0.1813 0.3625 0.5000

---

# LiCaSn2Pd4, optimized geometry, DFT GGA-PBE
# crystal system	trigonal
# DFT formation energy	-0.669	eV per atom
data_LiCaSn2Pd4
_chemical_formula_sum 'Li3 Ca3 Sn6 Pd12'
_cell_length_a 4.5636
_cell_length_b 4.5636
_cell_length_c 24.5291
_cell_angle_alpha 90.00
_cell_angle_beta 90.00
_cell_angle_gamma 120.00
_symmetry_space_group_name_H-M 'R -3 m'
_symmetry_Int_Tables_number 166
_symmetry_space_group_name_Hall '-R 3 2"'
loop_
_atom_site_label
_atom_site_fract_x
_atom_site_fract_y
_atom_site_fract_z
Li1 0.0000 0.0000 0.0000
Ca1 0.0000 0.0000 0.5000
Sn1 0.0000 0.0000 0.2584
Pd1 0.0000 0.0000 0.1021
Pd2 0.0000 0.0000 0.3715

---

# HfGaPd2, optimized geometry, DFT GGA-PBE
# crystal system	tetragonal
# DFT formation energy	-0.343	eV per atom
data_HfGaPd2
_chemical_formula_sum 'Hf4 Ga4 Pd8'
_cell_length_a 4.021
_cell_length_b 4.021
_cell_length_c 17.873
_cell_angle_alpha 90.00
_cell_angle_beta 90.00
_cell_angle_gamma 90.00
_symmetry_space_group_name_H-M 'I -4 2 d'
_symmetry_Int_Tables_number 122
_symmetry_space_group_name_Hall 'I -4 2bw'
loop_
_atom_site_label
_atom_site_fract_x
_atom_site_fract_y
_atom_site_fract_z
Hf1 0.000 0.000 0.000
Ga1 0.000 0.000 0.500
Pd1 0.236 0.250 0.625

---

Number 1: DFT total energy -4.7321 eV per atom, density of states at the Fermi level 21.659 states/eV/cell. Number 2: DFT total energy -5.6282 eV per atom, density of states at the Fermi level 10.555 states/eV/cell. Number 3: DFT total energy -4.7552 eV per atom, density of states at the Fermi level 13.594 states/eV/cell. Number 4: DFT total energy -6.1841 eV per atom, density of states at the Fermi level 10.005 states/eV/cell.